# 1
This record from the Alexandria database describes CsPuI3 after structural relaxation. The functional is PBE-GGA.

```
30
Lattice="15.180 0.000 0.000 -7.590 13.147 0.000 0.000 0.000 7.226" Properties=species:S:1:pos:R:3 pbc="T T T"
Cs -2.558 4.431 0.000
Cs -5.032 8.715 3.613
Cs 5.117 0.000 0.000
Cs 2.558 4.431 3.613
Cs 10.063 0.000 3.613
Cs 5.032 8.715 0.000
Pu 0.000 0.000 2.325
Pu 0.000 0.000 5.938
Pu 0.000 8.764 1.518
Pu 0.000 8.764 5.131
Pu 7.590 4.382 1.518
Pu 7.590 4.382 5.131
I -1.312 2.273 4.133
I -6.278 10.873 0.520
I -1.298 6.478 3.323
I -2.629 8.783 6.936
I 2.625 0.000 4.133
I 1.312 2.273 0.520
I 1.298 6.478 6.936
I -1.331 11.032 3.323
I 6.259 2.115 3.323
I 4.961 4.363 6.936
I 2.629 8.783 3.323
I 1.331 11.032 6.936
I 8.921 2.115 6.936
I 6.292 6.669 3.323
I 12.555 0.000 0.520
I 6.278 10.873 4.133
I 10.219 4.363 3.323
I 8.888 6.669 6.936
```

Output
* polymorph energy (0 for the lowest one): 0.00 eV per formula unit
* DOS(E_F): 93.2 states/eV per cell
* magnetization: 12.056 μB per cell
* energy relative to the elements, uncorrected: -6.3 eV per formula unit
* space-group type: P6_3cm, No. 185
* energy: -5.23 eV per atom

---

# 2
This record from the Alexandria database describes CsPuI3 after structural relaxation. The functional is PBE-GGA.

```
5
Lattice="6.295 0.000 0.000 0.000 6.295 0.000 0.000 0.000 6.295" Properties=species:S:1:pos:R:3 pbc="T T T"
Cs 0.000 0.000 0.000
Pu 3.148 3.148 3.148
I 0.000 3.148 3.148
I 3.148 0.000 3.148
I 3.148 3.148 0.000
```

Output
* polymorph energy (0 for the lowest one): 0.26 eV per formula unit
* DOS(E_F): 18.3 states/eV per cell
* magnetization: 6.000 μB per cell
* energy relative to the elements, uncorrected: -6.1 eV per formula unit
* space-group type: Pm-3m, No. 221
* energy: -5.18 eV per atom

---

# 3
This record from the Alexandria database describes Cs2Pu3I8 after structural relaxation. The functional is PBE-GGA.

```
13
Lattice="9.125 -4.811 0.000 9.125 4.811 0.000 -0.154 0.000 7.749" Properties=species:S:1:pos:R:3 pbc="T T T"
Cs 4.303 0.000 0.036
Cs 13.793 0.000 7.713
Pu 9.048 2.404 3.874
Pu 9.125 0.000 0.000
Pu 9.048 -2.404 3.874
I 1.834 0.000 2.951
I 7.230 2.216 1.261
I 10.866 2.216 6.488
I 7.209 0.000 5.088
I 10.887 0.000 2.661
I 7.230 -2.216 1.261
I 10.866 -2.216 6.488
I 16.262 0.000 4.798
```

Output
* DOS(E_F): 44.6 states/eV per cell
* magnetization: 18.000 μB per cell
* energy relative to the elements, uncorrected: -15.2 eV per formula unit
* space-group type: C2/m, No. 12
* energy: -5.56 eV per atom

---

# 4
This record from the Alexandria database describes Cs2PuI4 after structural relaxation. The functional is PBE-GGA.

```
14
Lattice="9.120 0.000 0.000 0.000 9.120 0.000 0.000 0.000 9.687" Properties=species:S:1:pos:R:3 pbc="T T T"
Cs 0.000 4.560 2.422
Cs 0.000 4.560 7.265
Cs 4.560 0.000 2.422
Cs 4.560 0.000 7.265
Pu 0.000 0.000 0.000
Pu 4.560 4.560 4.844
I 2.225 2.225 0.000
I 2.225 6.895 0.000
I 2.335 2.335 4.844
I 2.335 6.785 4.844
I 6.785 2.335 4.844
I 6.785 6.785 4.844
I 6.895 2.225 0.000
I 6.895 6.895 0.000
```

Output
* polymorph energy (0 for the lowest one): 0.86 eV per formula unit
* DOS(E_F): 40.5 states/eV per cell
* magnetization: 12.002 μB per cell
* energy relative to the elements, uncorrected: -8.3 eV per formula unit
* space-group type: I4/mmm, No. 139
* energy: -4.36 eV per atom

---

# 5
This record from the Alexandria database describes CsRbPuI4 after structural relaxation. The functional is PBE-GGA.

```
14
Lattice="6.248 0.000 0.000 0.000 6.248 0.000 0.000 0.000 19.070" Properties=species:S:1:pos:R:3 pbc="T T T"
Cs 0.000 0.000 0.000
Cs 3.124 3.124 9.535
Rb 0.000 0.000 13.819
Rb 3.124 3.124 4.284
Pu 0.000 0.000 6.930
Pu 3.124 3.124 16.465
I 0.000 0.000 3.750
I 0.000 0.000 10.130
I 0.000 3.124 6.860
I 0.000 3.124 16.395
I 3.124 0.000 6.860
I 3.124 0.000 16.395
I 3.124 3.124 0.595
I 3.124 3.124 13.285
```

Output
* DOS(E_F): 38.8 states/eV per cell
* magnetization: 12.000 μB per cell
* energy relative to the elements, uncorrected: -8.9 eV per formula unit
* space-group type: I4mm, No. 107
* energy: -4.47 eV per atom

---

# 6
This record from the Alexandria database describes CsRbPuI6 after structural relaxation. The functional is PBE-GGA.

```
18
Lattice="9.012 0.000 0.000 -4.506 7.804 0.000 0.000 0.000 15.066" Properties=species:S:1:pos:R:3 pbc="T T T"
Cs 0.000 0.000 0.000
Cs 0.000 0.000 7.533
Rb 0.000 5.203 3.767
Rb 4.506 2.601 11.300
Pu 0.000 5.203 11.300
Pu 4.506 2.601 3.767
I -1.262 3.106 9.542
I -2.447 5.158 13.058
I 1.262 3.106 13.058
I -1.184 7.345 9.542
I 3.322 0.460 2.009
I 2.059 2.647 5.524
I 2.447 5.158 9.542
I 1.184 7.345 13.058
I 5.690 0.460 5.524
I 3.243 4.698 2.009
I 6.953 2.647 2.009
I 5.768 4.698 5.524
```

Output
* DOS(E_F): 19.6 states/eV per cell
* magnetization: 8.000 μB per cell
* energy relative to the elements, uncorrected: -10.5 eV per formula unit
* space-group type: P-31c, No. 163
* energy: -4.00 eV per atom